Here is a relaxed structure of BaCr2Cu from Alexandria. Energies are from GGA-PBE.

- Magnetic moment: 0.09 μB per formula unit
- E_tot: -21.91 eV/f.u.
- Energy above the most stable polymorph in this dataset: 0.268 eV/atom
- ΔE_f: 0.8380 eV per atom
- Theoretical density: 5.6 g/cm3

Cell and atoms, written as POSCAR:
```
BaCr2Cu
1.0
-2.5545 2.5545 3.4708
2.5545 -2.5545 3.4708
2.5545 2.5545 -3.4708
Ba Cr Cu
1 2 1
Direct
0.0000 0.0000 0.0000
0.5000 0.5000 0.0000
0.7500 0.2500 0.5000
0.2500 0.7500 0.5000
```



Here is a relaxed structure of TbMg2PaS6 from Alexandria. Energies are from GGA-PBE.

- Magnetic moment: 0.00 μB per formula unit
- E_tot: -57.97 eV/f.u.
- Theoretical density: 4.5 g/cm3
- Formation energy (no corrections): -1588.7 meV per atom

Cell and atoms, written as POSCAR:
```
TbMg2PaS6
1.0
3.3356 1.9258 6.0550
-3.3356 1.9258 6.0550
0.0000 -3.8516 6.0550
Tb Mg Pa S
1 2 1 6
Direct
0.0000 0.0000 0.0000
0.2994 0.2994 0.2994
0.8050 0.8050 0.8050
0.4940 0.4940 0.4940
0.0859 0.4217 0.6923
0.2094 0.9043 0.5835
0.4217 0.6923 0.0859
0.5835 0.2094 0.9043
0.6923 0.0859 0.4217
0.9043 0.5835 0.2094
```



Here is a relaxed structure of AcSnPbO6 from Alexandria. Energies are from GGA-PBE.

- Magnetic moment: 1.08 μB per formula unit
- E_tot: -56.84 eV/f.u.
- Theoretical density: 7.3 g/cm3
- Formation energy (no corrections): -1696.5 meV per atom

Cell and atoms, written as POSCAR:
```
AcSnPbO6
1.0
5.6407 0.0000 0.0000
-2.8203 4.8850 0.0000
0.0000 0.0000 10.7038
Ac Sn Pb O
2 2 2 12
Direct
0.0000 0.0000 0.0000
0.0000 0.0000 0.5000
0.3333 0.6667 0.2500
0.6667 0.3333 0.7500
0.3333 0.6667 0.7500
0.6667 0.3333 0.2500
0.0141 0.3697 0.1407
0.0141 0.6445 0.3593
0.3555 0.3697 0.3593
0.3555 0.9859 0.1407
0.3697 0.0141 0.6407
0.3697 0.3555 0.8593
0.6303 0.6445 0.1407
0.6303 0.9859 0.3593
0.6445 0.0141 0.8593
0.6445 0.6303 0.6407
0.9859 0.3555 0.6407
0.9859 0.6303 0.8593
```



> Which formula does entry 2 have?

TbMg2PaS6